{
  "formula": "CaSmGdOs",
  "functional": "PBE",
  "state": "optimized geometry",
  "spacegroup": "F-43m",
  "ef_mev_per_atom": 140,
  "final_energy_ev_per_atom": -7.8675,
  "cell": [[-4.377, -2.564, -1.043], [0.207, -4.839, -1.833], [-1.453, -3.968, 2.994]],
  "species": ["Ca", "Gd", "Os", "Sm"],
  "fractional_positions": [[0.250, 0.250, 0.250], [0.000, 0.000, 0.000], [0.750, 0.750, 0.750], [0.500, 0.500, 0.500]]
}